Ba2LiDyTe4: optimized geometry, PBE.

Cell lengths 8.0973, 4.6862, 8.0995 Å; angles 90.00, 108.94, 90.00 degrees
Sites, in units of the cell vectors:
Ba  0.0000  0.0000  0.0000
Ba  0.0000  0.5000  0.5000
Li  0.5000  0.0000  0.5000
Dy  0.5000  0.5000  0.0000
Te  0.2861  0.5000  0.2558
Te  0.2870  0.0000  0.7640
Te  0.7130  0.0000  0.2360
Te  0.7139  0.5000  0.7442

Computed properties:
The formation energy (no corrections) is -11.73 eV/f.u. Its crystal system is monoclinic.

---

BaLi2DyTl4: optimized geometry, PBE.

Cell lengths 11.3096, 11.3096, 11.3096 Å; angles 25.12, 25.12, 25.12 degrees
Sites, in units of the cell vectors:
Ba  0.0000  0.0000  0.0000
Li  0.2281  0.2281  0.2281
Li  0.7719  0.7719  0.7719
Dy  0.5000  0.5000  0.5000
Tl  0.1216  0.1216  0.1216
Tl  0.4011  0.4011  0.4011
Tl  0.5989  0.5989  0.5989
Tl  0.8784  0.8784  0.8784

Computed properties:
The calculation puts the formation energy at -2.7 eV per formula unit. Its crystal system is trigonal.

---

BaLiDyTl: optimized geometry, PBE.

Cell lengths 5.6793, 5.6793, 5.6793 Å; angles 60.00, 60.00, 60.00 degrees
Sites, in units of the cell vectors:
Ba  0.0000  0.0000  0.0000
Li  0.7500  0.7500  0.7500
Dy  0.5000  0.5000  0.5000
Tl  0.2500  0.2500  0.2500

Computed properties:
The calculation puts the formation energy at -0.3 eV per formula unit. Its crystal system is cubic.

---

| no. | size of the total moment (μB per cell) |
| --- | --- |
| 1 | 0.00 |
| 2 | 0.00 |
| 3 | 0.00 |